No. 1
## NdPuSc (GGA-PBE)

Data for a geometry-optimized NdPuSc structure.

Structure (CIF):
```
data_NdPuSc
_chemical_formula_sum 'Nd2 Pu2 Sc2'
_cell_length_a 3.4653
_cell_length_b 3.4653
_cell_length_c 14.2990
_cell_angle_alpha 90.00
_cell_angle_beta 90.00
_cell_angle_gamma 90.00
_space_group_name_H-M_alt 'I 4 m m'
_space_group_IT_number 107
_space_group_name_Hall 'I 4 -2'
loop_
_atom_site_label
_atom_site_fract_x
_atom_site_fract_y
_atom_site_fract_z
Nd1 0.0000 0.0000 0.0000
Pu1 0.0000 0.0000 0.6763
Sc1 0.0000 0.0000 0.3297
```

Computed properties:
The value obtained for the total energy is -8.337 eV per atom. The calculation puts the magnetic moment at 6.0 μB/f.u. The value obtained for the offset from the most stable computed form is 0.000 eV/atom.



No. 2
## Tl2PdPtS4 (GGA-PBE)

Data for a geometry-optimized Tl2PdPtS4 structure.

Structure (CIF):
```
data_Tl2PdPtS4
_chemical_formula_sum 'Tl16 Pd8 Pt8 S32'
_cell_length_a 5.7828
_cell_length_b 13.0967
_cell_length_c 20.9432
_cell_angle_alpha 90.00
_cell_angle_beta 90.00
_cell_angle_gamma 90.00
_space_group_name_H-M_alt 'F d d d'
_space_group_IT_number 70
loop_
_space_group_symop_operation_xyz
'x,y,z'
'-x,-y,-z'
'-x+1/4,-y+1/4,z'
'x+1/4,y+1/4,-z'
'x,-y+1/4,-z+1/4'
'-x,y+1/4,z+1/4'
'-x+1/4,y,-z+1/4'
'x+1/4,-y,z+1/4'
'x,y+1/2,z+1/2'
'-x,-y+1/2,-z+1/2'
'-x+1/4,-y+3/4,z+1/2'
'x+1/4,y+3/4,-z+1/2'
'x,-y+3/4,-z+3/4'
'-x,y+3/4,z+3/4'
'-x+1/4,y+1/2,-z+3/4'
'x+1/4,-y+1/2,z+3/4'
'x+1/2,y,z+1/2'
'-x+1/2,-y,-z+1/2'
'-x+3/4,-y+1/4,z+1/2'
'x+3/4,y+1/4,-z+1/2'
'x+1/2,-y+1/4,-z+3/4'
'-x+1/2,y+1/4,z+3/4'
'-x+3/4,y,-z+3/4'
'x+3/4,-y,z+3/4'
'x+1/2,y+1/2,z'
'-x+1/2,-y+1/2,-z'
'-x+3/4,-y+3/4,z'
'x+3/4,y+3/4,-z'
'x+1/2,-y+3/4,-z+1/4'
'-x+1/2,y+3/4,z+1/4'
'-x+3/4,y+1/2,-z+1/4'
'x+3/4,-y+1/2,z+1/4'
loop_
_atom_site_label
_atom_site_fract_x
_atom_site_fract_y
_atom_site_fract_z
Tl1 0.1250 0.1250 0.3122
Pd1 0.1250 0.1250 0.1250
Pt1 0.1250 0.1250 0.6250
S1 0.1145 0.2790 0.8095
```

Computed properties:
The value obtained for the total energy is -4.134 eV per atom. The calculation puts the magnetic moment at 0.0 μB/f.u. The uncorrected formation energy comes out at -0.074 eV/atom.